Entry a
## UTcIr2 (PBE)

Data for crystalline UTcIr2 at its relaxed geometry.

- Volume: 16.46 A^3/atom
- M_tot: 0.00 μB/atom

a b c (Å): 4.001 4.001 4.112
angles (deg): 90.00 90.00 90.00
Atoms (fractional coordinates):
U 0.000 0.000 0.000
Tc 0.500 0.500 0.000
Ir 0.000 0.500 0.500
Ir 0.500 0.000 0.500


Entry b
## UTcIr2 (PBE)

Data for crystalline UTcIr2 at its relaxed geometry.

- Volume: 17.48 A^3/atom
- M_tot: 0.00 μB/atom

a b c (Å): 4.564 4.564 11.632
angles (deg): 90.00 90.00 120.00
Atoms (fractional coordinates):
U 0.000 0.000 0.000
U 0.333 0.667 0.667
U 0.667 0.333 0.333
Tc 0.000 0.000 0.500
Tc 0.333 0.667 0.167
Tc 0.667 0.333 0.833
Ir 0.000 0.000 0.272
Ir 0.000 0.000 0.728
Ir 0.333 0.667 0.395
Ir 0.333 0.667 0.939
Ir 0.667 0.333 0.061
Ir 0.667 0.333 0.605


Ranking the structures above by energy, entry a is first and the second is 53.7 kJ/mol of atoms behind.